Here is a relaxed La3SmNi crystal from the Alexandria database. Energies are from GGA-PBE.

Cell: 7.804 6.747 6.321 Å, 90.00 90.00 90.00°
Space group Pmn2_1 (No. 31)
Inequivalent atoms, fractional coordinates:
La: 0.000 0.149 0.000
La: 0.249 0.321 0.501
Sm: 0.000 0.845 0.509
Ni: 0.000 0.505 0.251

=====

Here is a relaxed La2SmNi crystal from the Alexandria database. Energies are from GGA-PBE.

Cell: 7.117 10.197 6.500 Å, 90.00 90.00 90.00°
Space group Pnma (No. 62)
Inequivalent atoms, fractional coordinates:
La: 0.173 0.068 0.175
Sm: 0.033 0.250 0.655
Ni: 0.118 0.750 0.929

=====

Here is a relaxed La2SmNi crystal from the Alexandria database. Energies are from GGA-PBE.

Cell: 3.9116 3.9116 28.1827 Å, 90.00 90.00 120.00°
Space group R3m (No. 160, hexagonal axes)
Inequivalent atoms, fractional coordinates:
La: 0.0000 0.0000 0.0000
La: 0.0000 0.0000 0.2117
Sm: 0.0000 0.0000 0.4387
Ni: 0.0000 0.0000 0.6056

=====

no.,density (g/cm3),ΔE to the lowest computed polymorph (meV per atom)
1,6.24,83
2,6.86,0
3,6.49,108